First-principles (GGA+U) data for a relaxed LiMnTcO4 crystal, as listed in Alexandria via LeMat-Bulk.

POSCAR file:
```
LiMnTcO4
1.0
-2.8374 3.0617 4.5675
2.8374 -3.0617 4.5675
2.8374 3.0617 -4.5675
Li Mn Tc O
2 2 2 8
Cartesian
0.0000 1.5308 1.0761
2.8374 1.5308 3.4914
2.8374 0.0000 0.0000
0.0000 0.0000 4.5675
1.4187 1.5308 -2.2837
1.4187 -1.5308 2.2837
1.5116 1.5308 -0.2835
4.1633 1.5308 -0.2835
2.8374 -0.0637 2.2525
2.8374 2.9980 -2.2525
0.0000 0.0637 6.8200
0.0000 3.1254 2.3149
-1.3259 1.5308 4.8510
1.3259 1.5308 4.8510
```

The total magnetization is 0.883 μB per atom. Its space-group type is Imma, No. 74. The total energy comes out at -101.28 eV for the cell shown.